(1)
## Ti2O3 (PBEsol)

Data for crystalline Ti2O3 at its relaxed geometry.

The structure in CIF format:
```
data_Ti2O3
_cell_length_a 5.0221
_cell_length_b 5.0221
_cell_length_c 9.6870
_cell_angle_alpha 90.00
_cell_angle_beta 90.00
_cell_angle_gamma 120.00
_symmetry_space_group_name_H-M 'P -3 1 c'
_symmetry_Int_Tables_number 163
_symmetry_space_group_name_Hall '-P 3 2c'
loop_
_atom_site_label
_atom_site_type_symbol
_atom_site_fract_x
_atom_site_fract_y
_atom_site_fract_z
Ti1 Ti 0.0000 0.0000 0.0000
Ti2 Ti 0.3333 0.6667 0.0208
Ti3 Ti 0.3333 0.6667 0.7500
O1 O 0.0245 0.3469 0.6191
```

Computed properties:
Mass density, Mg/m³: 4.5
E_tot, eV/cell: -186.9
Crystal system: trigonal
Volume, A^3/atom: 10.58

(2)
## Ti3O (PBEsol)

Data for crystalline Ti3O at its relaxed geometry.

The structure in CIF format:
```
data_Ti3O
_cell_length_a 5.1003
_cell_length_b 5.1003
_cell_length_c 9.3855
_cell_angle_alpha 90.00
_cell_angle_beta 90.00
_cell_angle_gamma 120.00
_symmetry_space_group_name_H-M 'P -3 1 c'
_symmetry_Int_Tables_number 163
_symmetry_space_group_name_Hall '-P 3 2c'
loop_
_atom_site_label
_atom_site_type_symbol
_atom_site_fract_x
_atom_site_fract_y
_atom_site_fract_z
Ti1 Ti 0.0056 0.3338 0.3820
O1 O 0.0000 0.0000 0.2500
O2 O 0.3333 0.6667 0.2500
```

Computed properties:
Mass density, Mg/m³: 5.0
E_tot, eV/cell: -144.1
Crystal system: trigonal
Volume, A^3/atom: 13.21

(3)
## TiO (PBEsol)

Data for crystalline TiO at its relaxed geometry.

The structure in CIF format:
```
data_TiO
_cell_length_a 2.7923
_cell_length_b 2.7923
_cell_length_c 2.7991
_cell_angle_alpha 90.00
_cell_angle_beta 90.00
_cell_angle_gamma 120.00
_symmetry_space_group_name_H-M 'P -6 m 2'
_symmetry_Int_Tables_number 187
_symmetry_space_group_name_Hall 'P -6 2'
loop_
_atom_site_label
_atom_site_type_symbol
_atom_site_fract_x
_atom_site_fract_y
_atom_site_fract_z
Ti1 Ti 0.0000 0.0000 0.0000
O1 O 0.6667 0.3333 0.5000
```

Computed properties:
Mass density, Mg/m³: 5.6
E_tot, eV/cell: -18.7
Crystal system: hexagonal
Volume, A^3/atom: 9.45

(4)
## Ti8O13 (PBEsol)

Data for crystalline Ti8O13 at its relaxed geometry.

The structure in CIF format:
```
data_Ti8O13
_cell_length_a 7.6978
_cell_length_b 7.6978
_cell_length_c 13.9293
_cell_angle_alpha 90.00
_cell_angle_beta 90.00
_cell_angle_gamma 120.00
_symmetry_space_group_name_H-M 'R -3'
_symmetry_Int_Tables_number 148
_symmetry_space_group_name_Hall '-R 3'
loop_
_atom_site_label
_atom_site_type_symbol
_atom_site_fract_x
_atom_site_fract_y
_atom_site_fract_z
Ti1 Ti 0.0000 0.0000 0.2236
Ti2 Ti 0.0266 0.2314 0.4171
O1 O 0.0000 0.0000 0.5000
O2 O 0.0307 0.2146 0.6733
O3 O 0.0772 0.2436 0.1634
```

Computed properties:
Mass density, Mg/m³: 4.1
E_tot, eV/cell: -591.8
Crystal system: trigonal
Volume, A^3/atom: 11.35